# 1
Density functional theory data (PBE-GGA) for Li2NpOsO8 after structural relaxation.

Geometry as POSCAR:
```
Li2NpOsO8
1.0
-2.6673 1.5970 -3.6129
-1.3022 -4.5102 -0.8084
-4.9166 0.7126 3.9448
O Li Os Np
8 2 1 1
Direct
0.8106 0.1903 0.2313
0.1894 0.8097 0.7687
0.1894 0.8097 0.2313
0.2799 0.2791 0.5000
0.2722 0.2714 0.0000
0.7201 0.7209 0.5000
0.8106 0.1903 0.7687
0.7278 0.7286 0.0000
0.5000 0.5000 0.2293
0.5000 0.5000 0.7707
0.0000 0.0000 0.0000
0.0000 0.0000 0.5000
```

Space-group type: Cmmm (65)
Formation energy (no corrections) in eV per atom: -1.807

---

# 2
Density functional theory data (PBE-GGA) for LiNpP2O8 after structural relaxation.

Geometry as POSCAR:
```
LiNpP2O8
1.0
-3.6786 -0.6790 -4.2589
-0.1751 -3.9092 4.1011
-1.3153 4.9354 2.4582
O Np P Li
8 1 2 1
Direct
0.3442 0.1624 0.8182
0.3442 0.5260 0.1818
0.8376 0.6558 0.1818
0.4086 0.0855 0.3230
0.7625 0.0855 0.6770
0.9145 0.2375 0.3230
0.9145 0.5914 0.6770
0.4740 0.6558 0.8182
0.2500 0.7500 0.5000
0.5000 0.5000 0.0000
0.7500 0.2500 0.5000
0.0000 0.0000 0.0000
```

Space-group type: I-4m2 (119)
Formation energy (no corrections) in eV per atom: -2.391

---

# 3
Density functional theory data (PBE-GGA) for Li4NpPaO8 after structural relaxation.

Geometry as POSCAR:
```
Li4NpPaO8
1.0
-3.3883 0.0190 -5.6530
2.7150 -2.4622 -5.4775
-1.8479 -4.7399 -2.7503
Li O Np Pa
4 8 1 1
Direct
0.6584 0.6584 0.0247
0.9961 0.9961 0.5594
0.4484 0.9961 0.5594
0.9961 0.4484 0.5594
0.2851 0.6946 0.3258
0.3050 0.3050 0.0849
0.7999 0.7999 0.6002
0.6946 0.6946 0.3258
0.7864 0.2130 0.7877
0.2130 0.2130 0.7877
0.2130 0.7864 0.7877
0.6946 0.2851 0.3258
0.4498 0.4498 0.6505
0.9596 0.9596 0.1212
```

Space-group type: R3m (160)
Formation energy (no corrections) in eV per atom: -2.403

---

# 4
Density functional theory data (PBE-GGA) for Li4Np3PbO12 after structural relaxation.

Geometry as POSCAR:
```
Li4Np3PbO12
1.0
-2.2597 5.5614 -3.6802
-5.3928 -2.0738 4.0246
4.9791 2.3734 4.3767
Li O Np Pb
4 12 3 1
Direct
0.9377 0.0623 0.5000
0.5000 0.9377 0.0623
0.5000 0.5000 0.5000
0.0623 0.5000 0.9377
0.0383 0.6481 0.7507
0.3342 0.6658 0.5000
0.6658 0.5000 0.3342
0.2493 0.3519 0.9617
0.7507 0.0383 0.6481
0.5000 0.3342 0.6658
0.1072 0.8928 0.5000
0.3519 0.9617 0.2493
0.9617 0.2493 0.3519
0.8928 0.5000 0.1072
0.6481 0.7507 0.0383
0.5000 0.1072 0.8928
0.5573 0.4427 0.0000
0.0000 0.5573 0.4427
0.4427 0.0000 0.5573
0.0000 0.0000 0.0000
```

Space-group type: R32 (155)
Formation energy (no corrections) in eV per atom: -2.367